Entry 1:
# Re2AgMo | the Alexandria database | PBE | optimized geometry
data_Re2AgMo
_chemical_formula_sum 'Re2 Ag1 Mo1'
_cell_length_a 4.467
_cell_length_b 4.467
_cell_length_c 4.467
_cell_angle_alpha 60.00
_cell_angle_beta 60.00
_cell_angle_gamma 60.00
_space_group_name_H-M_alt 'P 1'
_space_group_IT_number 1
loop_
_space_group_symop_operation_xyz
'x,y,z'
loop_
_atom_site_label
_atom_site_type_symbol
_atom_site_fract_x
_atom_site_fract_y
_atom_site_fract_z
Ag1 Ag 0.500 0.500 0.500
Mo1 Mo 0.250 0.250 0.250
Re1 Re 0.000 0.000 0.000
Re2 Re 0.750 0.750 0.750
# formation energy from the elements	0.61	eV per atom
# SG	F-43m (216)
# Fermi-level density of states	3.28	states/eV per cell
# polymorph energy (0 for the lowest one)	1.296	eV per formula unit



Entry 2:
# Re2AgMo | the Alexandria database | PBE | optimized geometry
data_Re2AgMo
_chemical_formula_sum 'Re2 Ag1 Mo1'
_cell_length_a 2.698
_cell_length_b 2.698
_cell_length_c 9.408
_cell_angle_alpha 90.00
_cell_angle_beta 90.00
_cell_angle_gamma 110.89
_space_group_name_H-M_alt 'P 1'
_space_group_IT_number 1
loop_
_space_group_symop_operation_xyz
'x,y,z'
loop_
_atom_site_label
_atom_site_type_symbol
_atom_site_fract_x
_atom_site_fract_y
_atom_site_fract_z
Ag1 Ag 0.000 0.000 0.500
Mo1 Mo 0.500 0.500 0.765
Re1 Re 0.000 0.000 0.001
Re2 Re 0.500 0.500 0.234
# formation energy from the elements	0.40	eV per atom
# SG	Cmm2 (35)
# Fermi-level density of states	3.75	states/eV per cell
# polymorph energy (0 for the lowest one)	0.479	eV per formula unit



Entry 3:
# TaReAgMo2 | the Alexandria database | PBE | optimized geometry
data_TaReAgMo2
_chemical_formula_sum 'Ta1 Re1 Ag1 Mo2'
_cell_length_a 4.678
_cell_length_b 4.892
_cell_length_c 4.678
_cell_angle_alpha 90.00
_cell_angle_beta 90.00
_cell_angle_gamma 90.00
_space_group_name_H-M_alt 'P 1'
_space_group_IT_number 1
loop_
_space_group_symop_operation_xyz
'x,y,z'
loop_
_atom_site_label
_atom_site_type_symbol
_atom_site_fract_x
_atom_site_fract_y
_atom_site_fract_z
Re1 Re 0.000 0.000 0.000
Mo1 Mo 0.000 0.000 0.500
Mo2 Mo 0.500 0.000 0.000
Ag1 Ag 0.000 0.500 0.000
Ta1 Ta 0.500 0.500 0.500
# formation energy from the elements	1.87	eV per atom
# SG	P4/mmm (123)
# Fermi-level density of states	6.26	states/eV per cell



Entry 4:
# Re2AgTeMo | the Alexandria database | PBE | optimized geometry
data_Re2AgTeMo
_chemical_formula_sum 'Re2 Ag1 Te1 Mo1'
_cell_length_a 4.860
_cell_length_b 4.946
_cell_length_c 4.860
_cell_angle_alpha 90.00
_cell_angle_beta 90.00
_cell_angle_gamma 90.00
_space_group_name_H-M_alt 'P 1'
_space_group_IT_number 1
loop_
_space_group_symop_operation_xyz
'x,y,z'
loop_
_atom_site_label
_atom_site_type_symbol
_atom_site_fract_x
_atom_site_fract_y
_atom_site_fract_z
Re1 Re 0.000 0.000 0.500
Re2 Re 0.500 0.000 0.000
Mo1 Mo 0.500 0.500 0.500
Te1 Te 0.000 0.000 0.000
Ag1 Ag 0.000 0.500 0.000
# raw formation energy	11.99	eV per formula unit
# SG	P4/mmm (123)
# Fermi-level density of states	4.36	states/eV per cell



Entry 5:
# AgMo2Rh | the Alexandria database | PBE | optimized geometry
data_AgMo2Rh
_chemical_formula_sum 'Ag1 Mo2 Rh1'
_cell_length_a 4.491
_cell_length_b 4.491
_cell_length_c 4.491
_cell_angle_alpha 60.00
_cell_angle_beta 60.00
_cell_angle_gamma 60.00
_space_group_name_H-M_alt 'P 1'
_space_group_IT_number 1
loop_
_space_group_symop_operation_xyz
'x,y,z'
loop_
_atom_site_label
_atom_site_type_symbol
_atom_site_fract_x
_atom_site_fract_y
_atom_site_fract_z
Mo1 Mo 0.250 0.250 0.250
Mo2 Mo 0.750 0.750 0.750
Rh1 Rh 0.000 0.000 0.000
Ag1 Ag 0.500 0.500 0.500
# formation energy from the elements	0.67	eV per atom
# SG	Fm-3m (225)
# Fermi-level density of states	7.58	states/eV per cell
# polymorph energy (0 for the lowest one)	2.024	eV per formula unit



Entry 6:
# AgMoRh3 | the Alexandria database | PBE | optimized geometry
data_AgMoRh3
_chemical_formula_sum 'Ag1 Mo1 Rh3'
_cell_length_a 4.671
_cell_length_b 4.671
_cell_length_c 4.671
_cell_angle_alpha 90.00
_cell_angle_beta 90.00
_cell_angle_gamma 90.00
_space_group_name_H-M_alt 'P 1'
_space_group_IT_number 1
loop_
_space_group_symop_operation_xyz
'x,y,z'
loop_
_atom_site_label
_atom_site_type_symbol
_atom_site_fract_x
_atom_site_fract_y
_atom_site_fract_z
Mo1 Mo 0.000 0.000 0.000
Rh1 Rh 0.000 0.500 0.000
Rh2 Rh 0.000 0.000 0.500
Rh3 Rh 0.500 0.000 0.000
Ag1 Ag 0.500 0.500 0.500
# formation energy from the elements	1.04	eV per atom
# SG	Pm-3m (221)
# Fermi-level density of states	2.72	states/eV per cell
# polymorph energy (0 for the lowest one)	0.000	eV per formula unit



Number 1: spin magnetization 0.00 μB/f.u.. Number 2: spin magnetization 0.00 μB/f.u.. Number 3: spin magnetization 0.00 μB/f.u.. Number 4: spin magnetization 1.90 μB/f.u.. Number 5: spin magnetization 0.00 μB/f.u.. Number 6: spin magnetization 0.00 μB/f.u..